No. 1
Here is La9Sm2Sc after structural relaxation from Alexandria. Energies are from PBE.

The calculation puts the electronic total energy at -4.993 eV/atom.

Structure (POSCAR):
```
La9Sm2Sc
1.0
5.184 0.000 0.000
0.000 5.184 0.000
0.000 0.000 15.586
La Sm Sc
9 2 1
Cartesian
2.592 2.592 0.000
2.592 2.592 5.168
2.592 2.592 10.418
2.592 0.000 2.526
2.592 0.000 7.793
2.592 0.000 13.060
0.000 2.592 2.526
0.000 2.592 7.793
0.000 2.592 13.060
0.000 0.000 5.147
0.000 0.000 10.439
0.000 0.000 0.000
```

No. 2
Here is La6Sm4Sc after structural relaxation from Alexandria. Energies are from PBE.

The calculation puts the electronic total energy at -4.862 eV/atom.

Structure (POSCAR):
```
La6Sm4Sc
1.0
-3.193 -4.843 1.337
3.170 0.251 -4.772
20.467 -9.880 13.074
La Sm Sc
12 8 2
Cartesian
-1.596 -2.422 0.669
8.637 -7.362 7.206
6.830 -3.633 3.147
13.614 -10.839 6.492
16.292 -12.132 8.202
4.152 -2.340 1.436
7.418 -7.606 3.412
13.026 -6.867 6.227
18.964 -9.733 10.020
1.480 -4.739 -0.381
6.524 -4.411 -0.402
13.920 -10.061 10.041
10.664 -9.330 4.917
3.963 -3.181 -2.059
9.780 -5.142 4.722
16.481 -11.292 11.698
19.051 -13.379 10.274
1.393 -1.094 -0.635
11.345 -8.813 8.417
9.098 -5.660 1.221
4.425 -6.140 1.578
16.019 -8.333 8.061
```

No. 3
Here is LaSm6Sc2 after structural relaxation from Alexandria. Energies are from PBE.

The calculation puts the electronic total energy at -4.988 eV/atom.

Structure (POSCAR):
```
LaSm6Sc2
1.0
-5.096 3.294 2.517
-2.464 0.322 -9.284
-2.798 -8.938 2.159
La Sm Sc
2 12 4
Cartesian
-3.770 0.265 -7.567
-6.589 -5.586 2.958
-5.620 -4.741 -0.502
-7.410 -2.353 1.378
-4.739 -0.580 -4.106
-2.948 -2.969 -5.986
-7.274 -2.426 -5.547
-5.514 2.047 -1.876
-3.085 -2.896 0.938
-4.845 -7.368 -2.732
-2.382 0.659 -1.494
-5.359 -5.714 -6.738
-7.977 -5.980 -3.114
-4.999 0.392 2.129
-2.705 -2.572 -2.392
-5.097 -4.170 -3.755
-7.653 -2.749 -2.217
-5.261 -1.151 -0.854
```

No. 4
Here is LaSmSc after structural relaxation from Alexandria. Energies are from PBE.

The calculation puts the electronic total energy at -5.225 eV/atom.

Structure (POSCAR):
```
LaSmSc
1.0
5.064 0.000 0.000
0.000 3.437 -0.478
0.000 -0.247 10.811
La Sm Sc
2 2 2
Cartesian
1.755 0.026 5.497
4.288 3.175 2.934
1.756 1.202 1.354
4.287 1.998 7.077
4.285 2.446 10.316
1.762 0.502 8.926
```

No. 5
Here is La2Sm5Sc2 after structural relaxation from Alexandria. Energies are from PBE.

The calculation puts the electronic total energy at -5.074 eV/atom.

Structure (POSCAR):
```
La2Sm5Sc2
1.0
4.927 0.000 -1.071
-0.300 7.879 -1.382
-0.873 -1.080 7.857
La Sm Sc
2 5 2
Cartesian
3.613 1.807 4.754
0.141 4.992 0.651
2.987 -0.328 1.875
0.767 7.126 3.530
3.156 4.633 2.651
0.598 2.165 2.754
0.000 0.000 0.000
2.542 2.526 -0.176
1.213 4.272 5.581
```

No. 6
Here is LaSm6Sc after structural relaxation from Alexandria. Energies are from PBE.

The calculation puts the electronic total energy at -4.565 eV/atom.

Structure (POSCAR):
```
LaSm6Sc
1.0
-4.254 -0.617 3.899
-1.860 -5.454 -0.689
4.285 -4.417 6.893
La Sm Sc
1 6 1
Cartesian
-0.914 -5.244 5.052
-0.637 -8.555 6.023
-1.803 -6.199 8.258
-0.025 -4.289 1.845
-1.191 -1.933 4.080
-3.547 -4.172 2.547
1.719 -6.316 7.556
0.000 0.000 0.000
```

No. 7
Here is La8Sm6Sc after structural relaxation from Alexandria. Energies are from PBE.

The calculation puts the electronic total energy at -4.787 eV/atom.

Structure (POSCAR):
```
La8Sm6Sc
1.0
-2.000 5.757 -2.795
-7.621 -4.381 -3.571
-0.426 4.019 8.584
La Sm Sc
8 6 1
Cartesian
-2.095 5.683 -0.035
-7.444 4.653 1.670
-3.873 7.539 5.061
-7.952 -0.288 2.254
-2.603 0.742 0.549
-6.174 -2.144 -2.842
-4.578 6.266 2.083
-5.469 -0.871 0.136
-6.366 1.286 -3.368
-8.449 2.081 -0.241
-4.796 3.243 -0.460
-3.681 4.109 5.586
-1.598 3.314 2.459
-5.251 2.152 2.679
-1.000 2.879 -1.397
```

No. 8
Here is La3Sm5Sc after structural relaxation from Alexandria. Energies are from PBE.

The calculation puts the electronic total energy at -4.534 eV/atom.

Structure (POSCAR):
```
La3Sm5Sc
1.0
-6.679 -1.614 -4.118
-3.075 -7.395 0.147
-7.342 1.975 8.882
La Sm Sc
6 10 2
Cartesian
-12.215 -4.468 4.263
-10.631 -5.698 1.258
0.000 0.000 0.000
-3.671 0.988 4.441
-4.882 -2.565 0.648
-6.465 -1.335 3.653
-8.890 -3.465 -1.584
-4.263 -5.489 -1.259
-7.639 -6.716 -2.651
-7.536 -3.732 1.308
-9.561 -3.302 3.603
-9.458 -0.317 7.562
-6.797 -6.822 0.893
-5.491 -3.520 -2.712
-8.207 -3.569 6.495
-10.299 -0.211 4.018
-6.432 0.610 6.262
-10.665 -7.644 -1.351
```

No. 9
Here is LaSm7Sc4 after structural relaxation from Alexandria. Energies are from PBE.

The calculation puts the electronic total energy at -5.239 eV/atom.

Structure (POSCAR):
```
LaSm7Sc4
1.0
-2.944 1.707 -6.224
-8.316 -0.564 -4.305
-3.904 6.834 3.730
La Sm Sc
1 7 4
Cartesian
0.000 0.000 0.000
-6.423 1.060 -6.841
-8.741 6.917 0.042
-7.819 5.997 -4.820
-7.345 1.980 -1.979
-9.685 4.474 -2.273
-1.472 0.853 -3.112
-5.478 3.503 -4.527
-8.936 2.808 -5.190
-6.227 5.169 -1.609
-11.215 5.273 -5.361
-3.948 2.704 -1.439
```

No. 10
Here is La2SmSc after structural relaxation from Alexandria. Energies are from PBE.

The calculation puts the electronic total energy at -5.184 eV/atom.

Structure (POSCAR):
```
La2SmSc
1.0
-2.644 1.088 -2.364
1.836 -1.609 -2.794
-4.753 -8.144 1.568
Sc Sm La
1 1 2
Cartesian
-0.404 -0.261 -2.579
-2.780 -4.332 -1.795
-3.637 -6.231 1.200
-1.116 -1.912 0.368
```

No. 11
Here is La6Sm5Sc after structural relaxation from Alexandria. Energies are from PBE.

The calculation puts the electronic total energy at -4.930 eV/atom.

Structure (POSCAR):
```
La6Sm5Sc
1.0
-3.720 0.142 3.659
-4.431 -8.125 -4.188
8.360 -0.684 4.805
Sc Sm La
1 5 6
Cartesian
0.000 0.000 0.000
-0.439 -1.480 3.336
2.863 -3.123 3.034
-2.216 -4.063 -2.094
-2.654 -5.544 1.242
0.648 -7.187 0.940
-0.109 -5.127 3.814
2.140 -1.006 5.939
-5.211 -6.073 -1.337
5.420 -2.594 5.614
-1.931 -7.661 -1.663
0.318 -3.540 0.462
```

No. 12
Here is LaSmSc after structural relaxation from Alexandria. Energies are from PBE.

The calculation puts the electronic total energy at -5.200 eV/atom.

Structure (POSCAR):
```
LaSmSc
1.0
3.536 0.000 0.000
0.000 8.952 0.000
0.000 0.000 12.099
Sm Sc La
4 4 4
Cartesian
1.768 7.635 0.647
1.768 2.150 4.539
1.768 3.159 11.452
1.768 6.626 7.560
0.000 1.416 1.722
0.000 0.401 6.764
0.000 4.878 5.335
0.000 5.892 10.376
1.768 7.736 4.053
1.768 4.601 2.203
1.768 0.125 9.896
1.768 3.260 8.046
```

Number 1: energy of formation from the pure elements 0.2 eV/f.u.. Number 2: energy of formation from the pure elements 1.3 eV/f.u.. Number 3: energy of formation from the pure elements 1.0 eV/f.u.. Number 4: energy of formation from the pure elements 0.3 eV/f.u.. Number 5: energy of formation from the pure elements 0.5 eV/f.u.. Number 6: energy of formation from the pure elements 3.1 eV/f.u.. Number 7: energy of formation from the pure elements 2.3 eV/f.u.. Number 8: energy of formation from the pure elements 3.9 eV/f.u.. Number 9: energy of formation from the pure elements 0.4 eV/f.u.. Number 10: energy of formation from the pure elements 0.2 eV/f.u.. Number 11: energy of formation from the pure elements 0.3 eV/f.u.. Number 12: energy of formation from the pure elements 0.4 eV/f.u..